# 1
{"formula": "ZrRe2WAu", "functional": "PBEsol", "state": "relaxed", "cell": [[-1.1905, -1.8007, -4.0830], [2.3935, -3.8242, 0.9888], [-3.9527, -1.9532, 2.0139]], "species": ["W", "Re", "Re", "Zr", "Au"], "frac_coords": [[0.5000, 0.5000, 0.5000], [0.5000, 0.0000, 0.0000], [0.0000, 0.5000, 0.0000], [0.0000, 0.0000, 0.0000], [0.0000, 0.0000, 0.5000]], "total_energy_ev_per_atom": -7.99}

# 2
{"formula": "YRe2Au", "functional": "PBEsol", "state": "relaxed", "cell": [[-1.4763, 0.5074, 2.1549], [1.4803, -3.6955, 1.8843], [4.6080, 3.0851, 2.4305]], "species": ["Au", "Y", "Re", "Re"], "frac_coords": [[0.5000, 0.5000, 0.5000], [0.5000, 0.5000, 0.0000], [0.0000, 0.0000, 0.7086], [0.0000, 0.0000, 0.2914]], "polymorph_energy_kj_per_mol_atoms": 20.7}

# 3
{"formula": "YRe2Au", "functional": "PBEsol", "state": "relaxed", "cell": [[2.8818, 0.0000, 0.0000], [1.4409, 2.4957, 0.0000], [1.4409, 0.8319, 9.5946]], "species": ["Re", "Re", "Y", "Au"], "frac_coords": [[0.7417, 0.7417, 0.7749], [0.0049, 0.0049, 0.9853], [0.4984, 0.4984, 0.5050], [0.2551, 0.2551, 0.2348]], "polymorph_energy_kj_per_mol_atoms": 0.3}